1.
A relaxed structure of Hf2BeGa. Source: Alexandria, functional PBE.

Cell and atoms, written as extended XYZ:
```
8
Lattice="-0.3826 -3.2127 1.5671 -3.1386 -1.5838 -4.0132 7.4243 -1.5776 -1.4213" Properties=species:S:1:pos:R:3 pbc="T T T"
Hf 5.8501 -4.1989 -0.9945
Be 4.0918 -2.4896 -2.0430
Hf 1.5809 -2.9537 -3.6076
Ga 0.3962 -1.6950 -1.3164
Be -0.1887 -3.8845 -1.8244
Hf -1.9470 -2.1752 -2.8729
Ga 3.5069 -4.6791 -2.5511
Hf 2.3222 -3.4204 -0.2598
```

Calculated values
Final energy (eV per cell): -55.94
DFT formation energy (eV/atom): -0.328
Energy relative to the lowest polymorph listed for this composition (meV per atom): 0
Space group: No. 11

=====

2.
A relaxed structure of K2Cd2I. Source: Alexandria, functional PBE.

Cell and atoms, written as extended XYZ:
```
10
Lattice="-4.5999 5.1578 6.4271 -5.9882 -7.1488 1.4512 2.7685 -1.6482 3.3042" Properties=species:S:1:pos:R:3 pbc="T T T"
I 0.0000 0.0000 0.0000
K -3.6076 -4.7742 3.8641
Cd -7.7483 0.2162 6.5999
K -1.1777 -0.5672 3.9268
K -6.6420 -3.0721 7.2556
Cd -3.4763 2.3577 4.0888
K -4.2121 1.1350 7.3183
I -5.2941 -0.9955 3.9391
Cd -7.1118 -4.3487 3.7895
Cd -2.8399 -2.2071 1.2784
```

Calculated values
Final energy (eV per cell): -14.79
Energy relative to the lowest polymorph listed for this composition (meV per atom): 1
ΔE_f (raw) (eV/atom): -0.3641
Space group: No. 127